Record 1
Below is MoS3N2Cl8 after structural relaxation, with properties calculated at the GGA-PBE level.

Lattice parameters (Å, degrees): 7.4578 16.5695 11.9932 90.00 101.19 90.00
Last column: nearest neighbours and their distance in Å.
Element x y z (fractional)
Cl1 0.2296 0.4813 0.9674  1 S 2.03
Cl2 0.2698 0.9620 0.0180  1 S 2.10
Cl3 0.8721 0.8301 0.3824  1 S 2.02
Cl4 0.7296 0.0187 0.4674  1 S 2.03
Cl5 0.9474 0.2021 0.3430  1 Mo 2.42
Cl6 0.7301 0.0380 0.9820  1 S 2.10
Cl7 0.3585 0.5412 0.2359  1 Mo 2.36
Cl8 0.1279 0.1699 0.6176  1 S 2.02
Cl9 0.7698 0.5380 0.5180  1 S 2.10
Cl10 0.3294 0.8178 0.3088  1 Mo 2.34
Cl11 0.4173 0.1892 0.3705  1 Mo 2.50
Cl12 0.6279 0.3301 0.1176  1 S 2.02
Cl13 0.8294 0.6822 0.8088  1 Mo 2.34
Cl14 0.1416 0.0412 0.2641  1 Mo 2.36
Cl15 0.2704 0.9813 0.5326  1 S 2.03
Cl16 0.7704 0.5187 0.0326  1 S 2.03
Cl17 0.5527 0.7021 0.1570  1 Mo 2.42
Cl18 0.3660 0.1505 0.0959  1 Mo 2.37
Cl19 0.5827 0.8108 0.6295  1 Mo 2.50
Cl20 0.3721 0.6699 0.8824  1 S 2.02
Cl21 0.6416 0.4588 0.7641  1 Mo 2.36
Cl22 0.1340 0.6505 0.4041  1 Mo 2.37
Cl23 0.8660 0.3495 0.5959  1 Mo 2.37
Cl24 0.6706 0.1822 0.6912  1 Mo 2.34
Cl25 0.1706 0.3178 0.1912  1 Mo 2.34
Cl26 0.9173 0.3108 0.8705  1 Mo 2.50
Cl27 0.0828 0.6892 0.1295  1 Mo 2.50
Cl28 0.6340 0.8495 0.9041  1 Mo 2.37
Cl29 0.8584 0.9588 0.7359  1 Mo 2.36
Cl30 0.4474 0.2979 0.8430  1 Mo 2.42
Cl31 0.0526 0.7979 0.6570  1 Mo 2.42
Cl32 0.2302 0.4620 0.4820  1 S 2.10
S1 0.7360 0.3726 0.2740  1 N 1.54
S2 0.6655 0.6546 0.5288  1 N 1.56
S3 0.8345 0.1546 0.9712  1 N 1.56
S4 0.1471 0.4648 0.7977  1 N 1.54
S5 0.1655 0.8454 0.0288  1 N 1.56
S6 0.7640 0.8726 0.2260  1 N 1.54
S7 0.8529 0.5352 0.2023  1 N 1.54
S8 0.2640 0.6274 0.7260  1 N 1.54
S9 0.6471 0.0352 0.2977  1 N 1.54
S10 0.3529 0.9648 0.7023  1 N 1.54
S11 0.2360 0.1274 0.7740  1 N 1.54
S12 0.3345 0.3454 0.4712  1 N 1.56
Mo1 0.6474 0.3220 0.7104  1 N 1.80
Mo2 0.1474 0.1780 0.2104  1 N 1.80
Mo3 0.3526 0.6780 0.2896  1 N 1.80
Mo4 0.8526 0.8220 0.7896  1 N 1.80
N1 0.3097 0.0408 0.7668  2 S 1.54
N2 0.9678 0.1663 0.0880  1 S 1.56
N3 0.5322 0.6663 0.4120  1 S 1.56
N4 0.1903 0.5408 0.7332  2 S 1.54
N5 0.4678 0.3337 0.5880  1 S 1.56
N6 0.0322 0.8337 0.9120  1 S 1.56
N7 0.8097 0.4592 0.2668  2 S 1.54
N8 0.6903 0.9592 0.2332  2 S 1.54

crystal system: monoclinic
E: -4.1999 eV/atom
calculated density: 2.302 Mg/m³
symmetry: P2_1/c (14)


Record 2
Below is DyY2Al2Cd4 after structural relaxation, with properties calculated at the GGA-PBE level.

Lattice parameters (Å, degrees): 4.5548 7.3047 7.3047 119.99 90.00 90.00
Last column: nearest neighbours and their distance in Å.
Element x y z (fractional)
Cd1 0.5000 0.7486 0.7486  2 Al 2.78, 2 Cd 2.93
Cd2 0.0000 0.0002 0.0002  6 Cd 2.92-2.93, 1 Dy 3.13, 2 Y 3.14
Cd3 0.5000 0.2512 0.0001  2 Al 2.78-2.79, 2 Cd 2.92
Cd4 0.5000 0.0001 0.2512  2 Al 2.78-2.79, 2 Cd 2.92
Y1 0.0000 0.5707 0.0000  3 Cd 3.14-3.26, 4 Al 3.15
Y2 0.0000 0.0000 0.5707  3 Cd 3.14-3.26, 4 Al 3.15
Al1 0.5000 0.6664 0.3334  3 Cd 2.78-2.79
Al2 0.5000 0.3334 0.6664  3 Cd 2.78-2.79
Dy1 0.0000 0.4292 0.4292  3 Cd 3.13-3.26, 4 Al 3.14

crystal system: orthorhombic
E: -3.5781 eV/atom
calculated density: 6.657 Mg/m³
symmetry: Amm2 (38)